The following is a PBE-GGA calculation of a relaxed BaHgS crystal, from Alexandria via LeMat-Bulk.

Results
* density: 6.23 g/cm3
* formation energy from raw total energies: -3.37 eV/f.u.
* SG: No. 1
* total energy: -3.240 eV/atom

a = 4.4040 Å, b = 6.6580 Å, c = 7.0751 Å
α = 80.17°, β = 74.74°, γ = 87.35°
Last column: nearest neighbours and their distance in Å.
Sites, in units of the cell vectors:
S 0.4012 0.5757 0.0832  2 Hg 2.86-3.15, 2 Ba 3.07-3.15
S 0.6505 0.8923 0.4858  2 Hg 2.92-3.04, 4 Ba 3.03-3.22
Hg 0.8518 0.1498 0.7257  1 S 2.92, 1 Hg 3.07
Hg 0.7387 0.4649 0.3808  3 S 2.86-3.15, 1 Hg 3.07
Ba 0.2743 0.0472 0.1881  3 S 3.03-3.34
Ba 0.0474 0.6329 0.7578  4 S 3.07-3.22, 1 Hg 3.43

The following is a PBE-GGA calculation of a relaxed Nd4IrS3 crystal, from Alexandria via LeMat-Bulk.

Results
* density: 7.24 g/cm3
* formation energy from raw total energies: -13.12 eV/f.u.
* SG: No. 65
* total energy: -6.679 eV/atom

a = 4.0653 Å, b = 7.1885 Å, c = 7.1885 Å
α = 109.02°, β = 90.00°, γ = 90.00°
Last column: nearest neighbours and their distance in Å.
Sites, in units of the cell vectors:
Nd 0.0000 0.2410 0.2410  2 Ir 2.86, 4 S 2.93-2.97
Nd 0.5000 0.7526 0.2474  1 Ir 2.90, 5 S 2.91-2.96
Nd 0.0000 0.7590 0.7590  2 Ir 2.86, 4 S 2.93-2.97
Nd 0.5000 0.2474 0.7526  1 Ir 2.90, 5 S 2.91-2.96
S 0.0000 0.5000 0.0000  6 Nd 2.91-2.93
S 0.0000 0.0000 0.5000  6 Nd 2.91-2.93
S 0.5000 0.5000 0.5000  6 Nd 2.96-2.97
Ir 0.5000 0.0000 0.0000  6 Nd 2.86-2.90

The following is a PBE-GGA calculation of a relaxed FeNiAs2Br crystal, from Alexandria via LeMat-Bulk.

Results
* density: 5.62 g/cm3
* formation energy from raw total energies: 3.55 eV/f.u.
* SG: No. 123
* total energy: -4.334 eV/atom

a = 4.4127 Å, b = 4.4127 Å, c = 5.2255 Å
α = 90.00°, β = 90.00°, γ = 90.00°
Last column: nearest neighbours and their distance in Å.
Sites, in units of the cell vectors:
As 0.0000 0.5000 0.0000  2 Fe 2.21
As 0.5000 0.0000 0.0000  2 Fe 2.21
Fe 0.0000 0.0000 0.0000  4 As 2.21
Br 0.0000 0.0000 0.5000  2 Fe 2.61
Ni 0.5000 0.5000 0.5000  4 Br 3.12, 8 As 3.42

The following is a PBE-GGA calculation of a relaxed Ag2Sb2Cl crystal, from Alexandria via LeMat-Bulk.

Results
* density: 6.16 g/cm3
* formation energy from raw total energies: 0.58 eV/f.u.
* SG: No. 139
* total energy: -3.043 eV/atom

a = 5.0880 Å, b = 5.0880 Å, c = 6.2817 Å
α = 66.11°, β = 66.11°, γ = 90.00°
Last column: nearest neighbours and their distance in Å.
Sites, in units of the cell vectors:
Ag 0.2500 0.7500 0.5000  4 Sb 2.80
Ag 0.7500 0.2500 0.5000  4 Sb 2.80
Cl 0.0000 0.0000 0.0000  8 Ag 3.62, 10 Sb 3.75-3.86
Sb 0.3638 0.3638 0.2723  4 Ag 2.80, 1 Sb 2.80
Sb 0.6362 0.6362 0.7277  4 Ag 2.80, 1 Sb 2.80

The following is a PBE-GGA calculation of a relaxed Dy5TcSb2 crystal, from Alexandria via LeMat-Bulk.

Results
* density: 7.26 g/cm3
* formation energy from raw total energies: -1.65 eV/f.u.
* SG: No. 63
* total energy: -5.408 eV/atom

a = 5.9592 Å, b = 7.0129 Å, c = 13.9474 Å
α = 90.00°, β = 90.00°, γ = 115.14°
Last column: nearest neighbours and their distance in Å.
Sites, in units of the cell vectors:
Tc 0.1940 0.3879 0.2500  4 Dy 2.58-2.81
Tc 0.8060 0.6121 0.7500  4 Dy 2.58-2.81
Dy 0.0564 0.1128 0.1141  1 Tc 2.58
Dy 0.9436 0.8872 0.8859  1 Tc 2.58
Dy 0.3200 0.6400 0.7500  2 Tc 2.98, 2 Sb 3.02
Dy 0.6570 0.3140 0.6014  1 Tc 2.81, 2 Sb 3.02
Dy 0.3430 0.6860 0.3986  1 Tc 2.81, 2 Sb 3.02
Dy 0.6570 0.3140 0.8986  1 Tc 2.81, 2 Sb 3.02
Dy 0.9436 0.8872 0.6141  1 Tc 2.58
Dy 0.6800 0.3600 0.2500  2 Tc 2.98, 2 Sb 3.02
Dy 0.0564 0.1128 0.3859  1 Tc 2.58
Dy 0.3430 0.6860 0.1014  1 Tc 2.81, 2 Sb 3.02
Sb 0.8175 0.6351 0.4271  6 Dy 3.02-3.17
Sb 0.8175 0.6351 0.0729  6 Dy 3.02-3.17
Sb 0.1825 0.3649 0.9271  6 Dy 3.02-3.17
Sb 0.1825 0.3649 0.5729  6 Dy 3.02-3.17

The following is a PBE-GGA calculation of a relaxed MgTiIn2P crystal, from Alexandria via LeMat-Bulk.

Results
* ΔE_f: 1027 meV/atom
* density: 3.66 g/cm3
* SG: No. 123
* total energy: -3.048 eV/atom

a = 5.3137 Å, b = 5.3452 Å, c = 5.3137 Å
α = 90.00°, β = 90.00°, γ = 90.00°
Last column: nearest neighbours and their distance in Å.
Sites, in units of the cell vectors:
In 0.5000 0.0000 0.0000  2 Ti 2.66
In 0.0000 0.0000 0.5000  2 Ti 2.66
P 0.5000 0.5000 0.5000  4 Mg 3.76, 8 In 3.77
Ti 0.0000 0.0000 0.0000  4 In 2.66, 2 Mg 2.67
Mg 0.0000 0.5000 0.0000  2 Ti 2.67

The following is a PBE-GGA calculation of a relaxed ZrTlO3 crystal, from Alexandria via LeMat-Bulk.

Results
* density: 7.61 g/cm3
* formation energy from raw total energies: -10.18 eV/f.u.
* SG: No. 221
* total energy: -7.194 eV/atom

a = 4.2158 Å, b = 4.2158 Å, c = 4.2158 Å
α = 90.00°, β = 90.00°, γ = 90.00°
Last column: nearest neighbours and their distance in Å.
Sites, in units of the cell vectors:
Tl 0.0000 0.0000 0.0000  12 O 2.98
O 0.0000 0.5000 0.5000  2 Zr 2.11
O 0.5000 0.5000 0.0000  2 Zr 2.11
O 0.5000 0.0000 0.5000  2 Zr 2.11
Zr 0.5000 0.5000 0.5000  6 O 2.11

The following is a PBE-GGA calculation of a relaxed NaSr2CdH crystal, from Alexandria via LeMat-Bulk.

Results
* density: 3.50 g/cm3
* SG: No. 123
* total energy: -1.906 eV/atom

a = 5.4028 Å, b = 5.4028 Å, c = 5.0601 Å
α = 90.00°, β = 90.00°, γ = 90.00°
Last column: nearest neighbours and their distance in Å.
Sites, in units of the cell vectors:
H 0.0000 0.0000 0.0000  2 Cd 2.53, 4 Sr 2.70
Cd 0.0000 0.0000 0.5000  2 H 2.53
Sr 0.5000 0.0000 0.0000  2 H 2.70
Sr 0.0000 0.5000 0.0000  2 H 2.70
Na 0.5000 0.5000 0.5000  8 Sr 3.70, 4 Cd 3.82

- The highest density belongs to which entry?
  ZrTlO3